! PBE CsLi2Cd2F7, optimized geometry; values from VASP
! Formation energy (no corrections) (kJ per mole of atoms): -241.3
! Electronic total energy (eV/atom): -4.135
! M_tot (μB/atom): 0.0000
&SYSTEM
  ibrav = 0, nat = 12, ntyp = 4
/
ATOMIC_SPECIES
Cs 132.91 Cs.upf
Li 6.94 Li.upf
Cd 112.41 Cd.upf
F 19.00 F.upf
ATOMIC_POSITIONS crystal
Cs 0.000 0.000 0.000
Li 0.230 0.480 0.750
Li 0.730 0.480 0.250
Cd 0.375 0.000 0.376
Cd 0.624 0.000 0.624
F 0.134 0.501 0.633
F 0.272 0.019 0.253
F 0.367 0.500 0.867
F 0.501 0.001 0.500
F 0.633 0.500 0.133
F 0.765 0.019 0.747
F 0.868 0.501 0.367
CELL_PARAMETERS angstrom
-2.236 9.079 2.246
2.236 -9.079 2.246
2.236 9.079 -2.246

=====

! PBE CsLi2CdF, optimized geometry; values from VASP
! Formation energy (no corrections) (kJ per mole of atoms): -61.9
! Electronic total energy (eV/atom): -2.135
! M_tot (μB/atom): 0.0000
&SYSTEM
  ibrav = 0, nat = 5, ntyp = 4
/
ATOMIC_SPECIES
Cs 132.91 Cs.upf
Li 6.94 Li.upf
Cd 112.41 Cd.upf
F 19.00 F.upf
ATOMIC_POSITIONS crystal
Cs 0.000 0.000 0.000
Li 0.000 0.500 0.500
Li 0.500 0.000 0.500
Cd 0.500 0.500 0.000
F 0.500 0.500 0.500
CELL_PARAMETERS angstrom
4.798 0.000 0.000
0.000 4.798 0.000
0.000 0.000 7.090

=====

! PBE Cs3LiCd2F9, optimized geometry; values from VASP
! Formation energy (no corrections) (kJ per mole of atoms): -230.6
! Electronic total energy (eV/atom): -3.933
! M_tot (μB/atom): 0.0748
&SYSTEM
  ibrav = 0, nat = 15, ntyp = 4
/
ATOMIC_SPECIES
Cs 132.91 Cs.upf
Li 6.94 Li.upf
Cd 112.41 Cd.upf
F 19.00 F.upf
ATOMIC_POSITIONS crystal
Cs 0.000 0.000 0.000
Cs 0.333 0.667 0.656
Cs 0.667 0.333 0.344
Li 0.000 0.000 0.500
Cd 0.333 0.667 0.174
Cd 0.667 0.333 0.826
F 0.000 0.500 0.000
F 0.165 0.329 0.332
F 0.165 0.835 0.332
F 0.329 0.165 0.668
F 0.500 0.000 0.000
F 0.500 0.500 0.000
F 0.671 0.835 0.332
F 0.835 0.165 0.668
F 0.835 0.671 0.668
CELL_PARAMETERS angstrom
6.299 0.000 0.000
-3.149 5.455 0.000
0.000 0.000 7.764